Computed, not measured: crystalline LiPm4Al3O12 at its relaxed geometry at the PBE level of DFT.

Summary:
uncorrected energy = -7.4568 eV/atom
DOS at the Fermi energy = 0.695 states/eV per atom
formation energy without anion corrections = -2.875 eV per atom
space group = Im-3m, No. 229
crystal system = cubic
total moment = 1.70 μB/f.u.
volume = 10.76 Å³/atom

abc: 6.539 6.539 6.539
angles: 109.47 109.47 109.47
Fractional coordinates of all 20 atoms:
Li 0.000 0.000 0.000
Pm 0.000 0.000 0.500
Pm 0.000 0.500 0.000
Pm 0.500 0.000 0.000
Pm 0.500 0.500 0.500
Al 0.000 0.500 0.500
Al 0.500 0.000 0.500
Al 0.500 0.500 0.000
O 0.000 0.259 0.259
O 0.000 0.741 0.741
O 0.250 0.500 0.750
O 0.250 0.750 0.500
O 0.259 0.000 0.259
O 0.259 0.259 0.000
O 0.500 0.250 0.750
O 0.500 0.750 0.250
O 0.741 0.000 0.741
O 0.741 0.741 0.000
O 0.750 0.250 0.500
O 0.750 0.500 0.250